Version i
First-principles (PBE-GGA) data for a geometry-optimized K2CrOs structure, as listed in the Alexandria database.

abc: 6.3548 6.3548 6.3548
angles: 143.81 143.81 52.11
Last column: magnetic moment on the atom in μB.
Atoms (fractional coordinates):
Os (0.2500, 0.7500, 0.5000)  -1.17
K (0.5000, 0.5000, 0.0000)  0.02
K (0.0000, 0.0000, 0.0000)  0.02
Cr (0.7500, 0.2500, 0.5000)  3.25

volume	89.0	Å³ per cell

=====

Version ii
First-principles (PBE-GGA) data for a geometry-optimized K2CrOs structure, as listed in the Alexandria database.

abc: 6.6642 6.6642 6.6642
angles: 148.62 127.22 62.71
Last column: magnetic moment on the atom in μB.
Atoms (fractional coordinates):
K (0.0181, 0.0181, 0.0000)  0.00
K (0.7254, 0.2254, 0.5000)  0.01
Os (0.4368, 0.4368, 0.0000)  -0.56
Cr (0.3197, 0.8197, 0.5000)  2.16

volume	121.5	Å³ per cell

=====

Version iii
First-principles (PBE-GGA) data for a geometry-optimized K2CrOs structure, as listed in the Alexandria database.

abc: 4.3273 4.3273 10.0410
angles: 87.17 87.17 41.66
Last column: magnetic moment on the atom in μB.
Atoms (fractional coordinates):
K (0.7672, 0.7672, 0.6594)  0.01
K (0.9843, 0.9843, 0.0896)  0.01
Cr (0.2329, 0.2329, 0.3460)  2.49
Os (0.5155, 0.5155, 0.4050)  -0.52

volume	124.8	Å³ per cell

=====

Most favorable structure: version iii. The second most favorable one is 199 meV per atom above it.

=====

Version i
First-principles (PBE-GGA) data for a geometry-optimized K2CrOs structure, as listed in the Alexandria database.

abc: 5.4312 5.4312 5.4312
angles: 60.00 60.00 60.00
Last column: magnetic moment on the atom in μB.
Atoms (fractional coordinates):
Os (0.5000, 0.5000, 0.5000)  -0.08
K (0.7500, 0.7500, 0.7500)  0.03
K (0.2500, 0.2500, 0.2500)  0.03
Cr (0.0000, 0.0000, 0.0000)  4.19

volume	113.3	Å³ per cell

=====

Version ii
First-principles (PBE-GGA) data for a geometry-optimized K2CrOs structure, as listed in the Alexandria database.

abc: 2.8210 5.7079 5.6440
angles: 90.00 90.00 90.00
Last column: magnetic moment on the atom in μB.
Atoms (fractional coordinates):
Cr (0.5000, 0.5000, 0.7500)  3.73
K (0.0000, 0.0000, 0.0055)  0.02
K (0.0000, 0.0000, 0.4945)  0.02
Os (0.5000, 0.5000, 0.2500)  -0.21

volume	90.9	Å³ per cell

=====

Most favorable structure: version ii. The second most favorable one is 546 meV per atom above it.